A geometry-optimized Ir3Os structure, computed with GGA-PBE.

Calculated values
spin magnetization	0.0	μB/cell
calculated volume	14.5	Å³/atom
ρ	22.0	Mg/m³
formation energy	22	meV per atom
final energy	-9.43	eV per atom
crystal system	monoclinic

Unit cell a=9.0676 b=2.7324 c=4.7399 alpha=90.00 beta=99.90 gamma=90.00
With the nearest neighbours (Å) after each atom.
Space group C2/m (No. 12)
Symmetry-distinct sites (fractional):
Ir (0.0000, 0.0000, 0.0000)  8 Ir 2.73-2.75, 4 Os 2.74
Ir (0.2484, 0.0000, 0.7466)  9 Ir 2.71-2.76, 3 Os 2.72-2.74
Os (0.0000, 0.5000, 0.5000)  10 Ir 2.72-2.74, 2 Os 2.73